[1]
The following is a DFT calculation (PBE) of a geometry-optimized KBa2Tc structure.

Properties
* space-group type: Fm-3m, No. 225
* distance to the lowest polymorph of the same formula: 0.216 eV/atom
* energy of formation from the pure elements: 3.45 eV/f.u.
* Fermi-level density of states: 0.460 states/eV per atom
* raw total energy: -0.109 Ha/atom

a = 6.0393 Å, b = 6.0393 Å, c = 6.0393 Å
α = 60.00°, β = 60.00°, γ = 60.00°
Element x y z (fractional)
K 0.0000 0.0000 0.0000
Ba 0.2500 0.2500 0.2500
Ba 0.7500 0.7500 0.7500
Tc 0.5000 0.5000 0.5000

[2]
The following is a DFT calculation (PBE) of a geometry-optimized KBaTc2 structure.

Properties
* space-group type: P4mm, No. 99
* distance to the lowest polymorph of the same formula: 0.119 eV/atom
* energy of formation from the pure elements: 2.62 eV/f.u.
* Fermi-level density of states: 0.822 states/eV per atom
* raw total energy: -0.194 Ha/atom

a = 3.4842 Å, b = 3.4842 Å, c = 10.2133 Å
α = 90.00°, β = 90.00°, γ = 90.00°
Element x y z (fractional)
K 0.0000 0.0000 0.0000
Ba 0.5000 0.5000 0.5822
Tc 0.0000 0.0000 0.3247
Tc 0.5000 0.5000 0.2760

[3]
The following is a DFT calculation (PBE) of a geometry-optimized KBa2Tc structure.

Properties
* space-group type: Pm, No. 6
* distance to the lowest polymorph of the same formula: 0.178 eV/atom
* energy of formation from the pure elements: 3.30 eV/f.u.
* Fermi-level density of states: 0.860 states/eV per atom
* raw total energy: -0.110 Ha/atom

a = 3.8758 Å, b = 4.6766 Å, c = 10.4690 Å
α = 90.00°, β = 96.66°, γ = 90.00°
Element x y z (fractional)
K 0.0000 0.0000 0.0000
Ba 0.4029 0.5000 0.6550
Ba 0.6264 0.0000 0.3629
Tc 0.0946 0.5000 0.4194